This record from Alexandria describes a relaxed structure of Sr4Pa3CdN8. The functional is GGA-PBE.

**V**: 16.82 Å³/atom
**E_form (uncorrected)**: -1.1217 eV/atom
**Crystal system**: trigonal

The structure in CIF format:
```
data_Sr4Pa3CdN8
_chemical_formula_sum 'Sr12 Pa9 Cd3 N24'
_space_group_name_H-M_alt 'R -3 m'
_space_group_IT_number 166
_space_group_name_Hall '-R 3 2"'
_cell_length_a 7.1965
_cell_length_b 7.1965
_cell_length_c 18.0034
_cell_angle_alpha 90.00
_cell_angle_beta 90.00
_cell_angle_gamma 120.00
loop_
_atom_site_label
_atom_site_fract_x
_atom_site_fract_y
_atom_site_fract_z
Sr1 0.0000 0.0000 0.0000
Sr2 0.0000 0.5000 0.0000
Pa1 0.0000 0.5000 0.5000
Cd1 0.0000 0.0000 0.5000
N1 0.0000 0.0000 0.2331
N2 0.0307 0.5154 0.7653
```

***

This record from Alexandria describes a relaxed structure of Li3CaPCO7. The functional is GGA-PBE.

**V**: 11.56 Å³/atom
**E_form (uncorrected)**: -2.2805 eV/atom
**Crystal system**: monoclinic

The structure in CIF format:
```
data_Li3CaPCO7
_chemical_formula_sum 'Li6 Ca2 P2 C2 O14'
_space_group_name_H-M_alt 'P 1 21/m 1'
_space_group_IT_number 11
_space_group_name_Hall '-P 2yb'
_cell_length_a 4.912
_cell_length_b 6.839
_cell_length_c 9.057
_cell_angle_alpha 90.00
_cell_angle_beta 98.83
_cell_angle_gamma 90.00
loop_
_atom_site_label
_atom_site_fract_x
_atom_site_fract_y
_atom_site_fract_z
Li1 0.164 0.250 0.100
Li2 0.288 0.544 0.751
Ca1 0.227 0.750 0.348
P1 0.253 0.250 0.388
C1 0.372 0.750 0.048
O1 0.118 0.750 0.066
O2 0.128 0.071 0.294
O3 0.193 0.250 0.550
O4 0.427 0.750 0.606
O5 0.439 0.250 0.833
O6 0.442 0.750 0.915
```

***

Ordered total moment results: 0.001; 0.000; unit μB per cell.
Ordered final energy results: -7.543; -6.672; unit eV/atom.